Density functional theory data (meta-GGA SCAN) for a crystal of LiV2O3F relaxed with PBEsol.

a = 5.9147 Å, b = 7.5761 Å, c = 7.5761 Å
α = 65.01°, β = 67.04°, γ = 67.04°
Atoms (fractional coordinates):
O1 0.5313 0.7335 0.7389
Li1 0.8818 0.7547 0.0000
V1 0.5034 0.4964 0.9645
O2 0.8577 0.8837 0.3663
V2 0.9087 0.6474 0.5975
F1 0.6083 0.6195 0.1324
V3 0.4087 0.5975 0.6474
O3 0.3577 0.3663 0.8837
O4 0.1604 0.6215 0.1262
Li2 0.5893 0.0141 0.2462
F2 0.2395 0.9831 0.0226
O5 0.3562 0.8541 0.3906
V4 0.1391 0.3888 0.3553
O6 0.2682 0.5007 0.4954
O7 0.6604 0.1262 0.6215
O8 0.8562 0.3906 0.8541
V5 0.2101 0.7604 0.2754
F3 0.7395 0.0226 0.9831
F4 0.1083 0.1324 0.6195
O9 0.4962 0.2852 0.2456
V6 0.7101 0.2754 0.7604
O10 0.0313 0.7389 0.7335
Li3 0.0893 0.2462 0.0141
Li4 0.3818 0.0000 0.7547
V7 0.0034 0.9645 0.4964
V8 0.6391 0.3553 0.3888
O11 0.9962 0.2456 0.2852
O12 0.7682 0.4954 0.5007

- SG: Cc
- Uncorrected formation energy: -61.4 kcal/mol of atoms
- Total magnetization: 1.0 μB/f.u.
- Energy relative to the lowest polymorph listed for this composition: 0.28 eV per formula unit



Density functional theory data (meta-GGA SCAN) for a crystal of Te2WN2 relaxed with PBEsol.

a = 4.0121 Å, b = 4.0121 Å, c = 5.7237 Å
α = 90.00°, β = 90.00°, γ = 90.00°
Atoms (fractional coordinates):
Te1 0.5000 0.5000 0.5000
N1 0.5000 0.0000 0.0000
N2 0.0000 0.5000 0.0000
Te2 0.0000 0.0000 0.5000
W1 0.0000 0.0000 0.0000

- SG: P4/mmm
- Uncorrected formation energy: 13.2 kcal/mol of atoms
- Total magnetization: 0.7 μB/f.u.
- Energy relative to the lowest polymorph listed for this composition: 0.00 eV per formula unit



Density functional theory data (meta-GGA SCAN) for a crystal of LaScP2 relaxed with PBEsol.

a = 4.0169 Å, b = 4.0169 Å, c = 5.6306 Å
α = 90.00°, β = 90.00°, γ = 90.00°
Atoms (fractional coordinates):
P1 0.5000 0.5000 0.3749
Sc1 0.0000 0.0000 0.3747
P2 0.0000 0.0000 0.8756
La1 0.5000 0.5000 0.8748

- Energy of formation: -1535 meV/atom
- SG: P4/mmm
- Total magnetization: 0.0 μB/f.u.
- Energy relative to the lowest polymorph listed for this composition: 0.53 eV per formula unit



Density functional theory data (meta-GGA SCAN) for a crystal of MgAlReHg2 relaxed with PBEsol.

a = 5.0815 Å, b = 5.1691 Å, c = 5.1691 Å
α = 90.00°, β = 90.00°, γ = 90.00°
Atoms (fractional coordinates):
Al1 0.5000 0.5000 0.5000
Re1 0.0000 0.0000 0.0000
Hg1 0.0000 0.0000 0.5000
Hg2 0.0000 0.5000 0.0000
Mg1 0.5000 0.0000 0.0000

- Energy of formation: 1098 meV/atom
- SG: P4/mmm
- Total magnetization: 1.5 μB/f.u.



Density functional theory data (meta-GGA SCAN) for a crystal of InCoAg2 relaxed with PBEsol.

a = 2.9745 Å, b = 4.5120 Å, c = 5.4791 Å
α = 114.31°, β = 105.75°, γ = 90.00°
Atoms (fractional coordinates):
In1 0.0000 0.5000 0.0000
Ag1 0.2302 0.2302 0.4604
Co1 0.5000 0.0000 0.0000
Ag2 0.7698 0.7698 0.5396

- Energy of formation: 195 meV/atom
- SG: Immm
- Total magnetization: 1.7 μB/f.u.



Density functional theory data (meta-GGA SCAN) for a crystal of K2ZrCo relaxed with PBEsol.

a = 2.9344 Å, b = 2.9344 Å, c = 11.9122 Å
α = 90.00°, β = 90.00°, γ = 90.00°
Atoms (fractional coordinates):
Zr1 0.5000 0.5000 0.0000
K1 0.0000 0.0000 0.2893
Co1 0.5000 0.5000 0.5000
K2 0.0000 0.0000 0.7107

- Energy of formation: 1188 meV/atom
- SG: P4/mmm
- Total magnetization: 1.8 μB/f.u.
- Energy relative to the lowest polymorph listed for this composition: 0.00 eV per formula unit



Density functional theory data (meta-GGA SCAN) for a crystal of RuPt relaxed with PBEsol.

a = 2.7058 Å, b = 3.8126 Å, c = 5.4695 Å
α = 90.00°, β = 90.00°, γ = 90.00°
Atoms (fractional coordinates):
Ru1 0.5000 0.5000 0.8872
Pt1 0.0000 0.0000 0.6306
Ru2 0.0000 0.0000 0.1128
Pt2 0.5000 0.5000 0.3694

- Energy of formation: -20 meV/atom
- SG: Pmmn
- Total magnetization: 0.0 μB/f.u.



Density functional theory data (meta-GGA SCAN) for a crystal of FeCo2Se relaxed with PBEsol.

a = 4.0225 Å, b = 4.0225 Å, c = 4.0225 Å
α = 60.00°, β = 60.00°, γ = 60.00°
Atoms (fractional coordinates):
Co1 0.0000 0.0000 0.0000
Se1 0.2500 0.2500 0.2500
Co2 0.7500 0.7500 0.7500
Fe1 0.5000 0.5000 0.5000

- SG: F-43m
- Uncorrected formation energy: 6.8 kcal/mol of atoms
- Total magnetization: 5.0 μB/f.u.



Density functional theory data (meta-GGA SCAN) for a crystal of Li2CoBr relaxed with PBEsol.

a = 3.3376 Å, b = 3.3376 Å, c = 5.5769 Å
α = 90.00°, β = 90.00°, γ = 90.00°
Atoms (fractional coordinates):
Li1 0.5000 0.5000 0.2603
Br1 0.0000 0.0000 0.4818
Li2 0.0000 0.0000 0.9748
Co1 0.5000 0.5000 0.7832

- SG: P4mm
- Uncorrected formation energy: -2.2 kcal/mol of atoms
- Total magnetization: 2.0 μB/f.u.



Density functional theory data (meta-GGA SCAN) for a crystal of BeZn2Rh relaxed with PBEsol.

a = 2.7260 Å, b = 3.6157 Å, c = 5.1246 Å
α = 90.00°, β = 105.42°, γ = 90.00°
Atoms (fractional coordinates):
Zn1 0.3065 0.5000 0.6129
Zn2 0.9292 0.0000 0.8585
Be1 0.1594 0.0000 0.3188
Rh1 0.5785 0.5000 0.1570

- Energy of formation: -321 meV/atom
- SG: Amm2
- Total magnetization: 0.0 μB/f.u.
- Energy relative to the lowest polymorph listed for this composition: 0.21 eV per formula unit



Density functional theory data (meta-GGA SCAN) for a crystal of CdCo2As relaxed with PBEsol.

a = 3.6527 Å, b = 3.6527 Å, c = 4.8417 Å
α = 112.16°, β = 112.16°, γ = 90.00°
Atoms (fractional coordinates):
Co1 0.7500 0.2500 0.5000
Cd1 0.2500 0.7500 0.5000
As1 0.5000 0.5000 0.0000
Co2 0.0000 0.0000 0.0000

- Energy of formation: 365 meV/atom
- SG: I-4m2
- Total magnetization: 3.2 μB/f.u.
- Energy relative to the lowest polymorph listed for this composition: 0.86 eV per formula unit



Density functional theory data (meta-GGA SCAN) for a crystal of Ta2MnPt relaxed with PBEsol.

a = 3.8467 Å, b = 3.8467 Å, c = 4.9460 Å
α = 112.88°, β = 112.88°, γ = 90.00°
Atoms (fractional coordinates):
Ta1 0.0000 0.0000 0.0000
Mn1 0.5000 0.5000 0.0000
Ta2 0.7500 0.2500 0.5000
Pt1 0.2500 0.7500 0.5000

- Energy of formation: -374 meV/atom
- SG: I-4m2
- Total magnetization: 1.5 μB/f.u.



no.,volume (A^3/atom)
1,9.7
2,18.4
3,22.7
4,27.2
5,16.0
6,25.6
7,14.1
8,11.5
9,15.5
10,12.2
11,13.7
12,15.3